1.
Computed, not measured: crystalline LiNi8 at its relaxed geometry at the PBE level of DFT.

Cell and atoms, written as extended XYZ:
```
9
Lattice="-5.328 -1.100 -1.118 2.097 -3.449 -3.814 -0.700 0.662 5.469" Properties=species:S:1:pos:R:3 pbc="T T T"
Li 0.000 0.000 0.000
Ni 1.170 -2.087 -0.738
Ni -2.154 -3.033 -3.288
Ni -0.863 -2.234 0.730
Ni -2.009 -0.146 1.451
Ni -4.018 -0.292 2.901
Ni 0.227 -0.700 2.393
Ni -1.077 -1.516 -1.644
Ni -3.068 -1.653 -0.192
```

Properties
- energy of formation (eV/atom) = 0.017
- N(E_F) (states/eV/f.u.) = 15.4
- total magnetic moment (μB per atom) = 0.473
- energy above the most stable polymorph in this dataset (kJ/mol of formula units) = 0


2.
Computed, not measured: crystalline LiNi3 at its relaxed geometry at the PBE level of DFT.

Cell and atoms, written as extended XYZ:
```
4
Lattice="-0.910 -2.869 -1.863 2.430 0.815 -2.441 1.602 -0.842 3.881" Properties=species:S:1:pos:R:3 pbc="T T T"
Ni 0.760 -1.027 -2.152
Ni 2.396 -0.528 -0.356
Ni 0.726 -2.369 -0.067
Li 0.000 0.000 0.000
```

Properties
- energy of formation (eV/atom) = 0.025
- N(E_F) (states/eV/f.u.) = 2.5
- total magnetic moment (μB per atom) = 0.313


3.
Computed, not measured: crystalline LiNi3 at its relaxed geometry at the PBE level of DFT.

Cell and atoms, written as extended XYZ:
```
4
Lattice="-0.355 -0.872 -3.976 1.272 -2.031 0.332 -3.533 -2.567 0.878" Properties=species:S:1:pos:R:3 pbc="T T T"
Ni -0.770 -1.562 -1.688
Ni -1.846 -3.908 -1.078
Ni -1.130 -2.299 0.605
Li 0.000 0.000 0.000
```

Properties
- energy of formation (eV/atom) = 0.035
- N(E_F) (states/eV/f.u.) = 5.8
- total magnetic moment (μB per atom) = 0.300


4.
Computed, not measured: crystalline LiNi at its relaxed geometry at the PBE level of DFT.

Cell and atoms, written as extended XYZ:
```
16
Lattice="7.261 0.000 0.000 0.000 7.261 0.000 0.000 0.000 3.822" Properties=species:S:1:pos:R:3 pbc="T T T"
Ni 1.194 6.066 0.000
Ni 4.825 2.436 1.911
Ni 2.436 4.825 1.911
Ni 2.436 2.436 1.911
Ni 4.825 4.825 1.911
Ni 1.194 1.194 0.000
Ni 6.066 6.066 0.000
Ni 6.066 1.194 0.000
Li 5.108 7.260 1.911
Li 3.630 5.783 0.000
Li 1.478 3.630 0.000
Li 3.630 1.478 0.000
Li 7.260 2.152 1.911
Li 0.000 5.108 1.911
Li 5.783 3.630 0.000
Li 2.152 0.000 1.911
```

Properties
- energy of formation (eV/atom) = 0.189
- N(E_F) (states/eV/f.u.) = 2.6
- total magnetic moment (μB per atom) = 0.189


5.
Computed, not measured: crystalline LiNi at its relaxed geometry at the PBE level of DFT.

Cell and atoms, written as extended XYZ:
```
2
Lattice="3.641 0.000 0.000 1.820 3.153 0.000 1.820 1.051 2.972" Properties=species:S:1:pos:R:3 pbc="T T T"
Ni 5.461 3.153 2.229
Li 0.000 0.000 0.000
```

Properties
- energy of formation (eV/atom) = 1.240
- N(E_F) (states/eV/f.u.) = 4.3
- total magnetic moment (μB per atom) = 0.102


6.
Computed, not measured: crystalline LiNi at its relaxed geometry at the PBE level of DFT.

Cell and atoms, written as extended XYZ:
```
16
Lattice="9.114 0.000 0.000 0.000 9.114 0.000 0.000 0.000 2.490" Properties=species:S:1:pos:R:3 pbc="T T T"
Li 1.804 3.059 1.245
Li 6.054 1.804 1.245
Li 7.346 8.601 0.000
Li 3.059 7.309 1.245
Li 8.601 1.768 0.000
Li 7.309 6.054 1.245
Li 1.768 0.513 0.000
Li 0.513 7.346 0.000
Ni 0.915 5.292 1.245
Ni 2.946 5.059 0.000
Ni 5.292 8.199 1.245
Ni 4.055 2.946 0.000
Ni 8.199 3.822 1.245
Ni 6.168 4.055 0.000
Ni 3.822 0.915 1.245
Ni 5.059 6.168 0.000
```

Properties
- energy of formation (eV/atom) = 0.130
- N(E_F) (states/eV/f.u.) = 2.0
- total magnetic moment (μB per atom) = 0.177


7.
Computed, not measured: crystalline LiNi at its relaxed geometry at the PBE level of DFT.

Cell and atoms, written as extended XYZ:
```
8
Lattice="-1.804 4.161 0.764 -2.751 -1.785 3.225 3.214 0.808 3.189" Properties=species:S:1:pos:R:3 pbc="T T T"
Li 0.705 2.485 1.976
Li -2.278 1.188 1.994
Li 0.232 -0.488 3.207
Li 0.000 0.000 0.000
Ni 1.607 0.404 1.594
Ni -0.902 2.080 0.382
Ni -0.671 1.592 3.589
Ni -1.375 -0.893 1.612
```

Properties
- energy of formation (eV/atom) = 0.560
- N(E_F) (states/eV/f.u.) = 1.2
- total magnetic moment (μB per atom) = 0.000


8.
Computed, not measured: crystalline LiNi2 at its relaxed geometry at the PBE level of DFT.

Cell and atoms, written as extended XYZ:
```
12
Lattice="4.722 0.000 0.000 -2.361 4.089 0.000 0.000 0.000 7.702" Properties=species:S:1:pos:R:3 pbc="T T T"
Ni 3.519 0.694 1.925
Ni -1.159 3.395 5.776
Ni 1.159 3.395 5.776
Ni 0.000 1.388 5.776
Ni 0.000 0.000 0.000
Ni 0.000 0.000 3.851
Ni 2.361 2.701 1.925
Ni 1.202 0.694 1.925
Li 2.361 1.363 4.364
Li 0.000 2.726 0.513
Li 2.361 1.363 7.188
Li 0.000 2.726 3.338
```

Properties
- energy of formation (eV/atom) = -0.018
- N(E_F) (states/eV/f.u.) = 1.4
- total magnetic moment (μB per atom) = 0.294


9.
Computed, not measured: crystalline Li4Ni at its relaxed geometry at the PBE level of DFT.

Cell and atoms, written as extended XYZ:
```
5
Lattice="4.726 0.065 0.000 -3.071 3.592 0.000 -0.827 -1.829 4.279" Properties=species:S:1:pos:R:3 pbc="T T T"
Ni 0.000 0.000 0.000
Li 2.373 1.129 0.765
Li -1.546 0.699 3.513
Li 0.130 2.144 1.697
Li 0.697 -0.316 2.582
```

Properties
- energy of formation (eV/atom) = 0.073
- N(E_F) (states/eV/f.u.) = 1.9
- total magnetic moment (μB per atom) = 0.000
- energy above the most stable polymorph in this dataset (kJ/mol of formula units) = 13


10.
Computed, not measured: crystalline Li4Ni at its relaxed geometry at the PBE level of DFT.

Cell and atoms, written as extended XYZ:
```
5
Lattice="4.625 0.000 0.000 0.000 4.625 0.000 0.000 0.000 4.625" Properties=species:S:1:pos:R:3 pbc="T T T"
Li 0.000 2.313 2.313
Li 2.313 2.313 0.000
Li 2.313 0.000 2.313
Li 0.000 0.000 0.000
Ni 2.313 2.313 2.313
```

Properties
- energy of formation (eV/atom) = 0.260
- N(E_F) (states/eV/f.u.) = 2.5
- total magnetic moment (μB per atom) = 0.000
- energy above the most stable polymorph in this dataset (kJ/mol of formula units) = 102


11.
Computed, not measured: crystalline LiNi at its relaxed geometry at the PBE level of DFT.

Cell and atoms, written as extended XYZ:
```
4
Lattice="3.973 0.000 0.000 -1.986 3.441 0.000 0.000 0.000 4.601" Properties=species:S:1:pos:R:3 pbc="T T T"
Ni 1.986 1.147 1.150
Ni 0.000 2.294 3.451
Li 1.986 1.147 3.451
Li 0.000 2.294 1.150
```

Properties
- energy of formation (eV/atom) = 0.924
- N(E_F) (states/eV/f.u.) = 2.5
- total magnetic moment (μB per atom) = 0.098


12.
Computed, not measured: crystalline LiNi at its relaxed geometry at the PBE level of DFT.

Cell and atoms, written as extended XYZ:
```
32
Lattice="-0.140 0.082 4.341 -13.247 -0.858 -0.409 0.461 -7.182 0.151" Properties=species:S:1:pos:R:3 pbc="T T T"
Ni -5.558 -0.314 2.001
Ni -8.720 -2.345 0.851
Ni -12.112 -0.785 -0.374
Ni -5.258 -3.946 -0.094
Ni -10.829 -6.042 3.027
Ni -0.974 -3.623 2.211
Ni -7.528 -4.093 -0.164
Ni -4.436 -2.022 3.156
Ni -10.989 -2.492 0.781
Ni -7.828 -0.461 1.931
Ni -8.560 -5.895 3.097
Ni -1.866 -5.507 1.131
Ni -2.166 -1.875 3.227
Ni -4.136 -5.654 1.061
Ni -11.951 -4.334 1.872
Ni -1.135 -0.073 -0.035
Li -6.388 -5.150 2.066
Li -3.307 -0.818 0.996
Li -3.146 -4.368 3.242
Li 0.005 -1.130 2.195
Li -6.548 -1.600 -0.180
Li -2.996 -6.711 3.292
Li 0.316 -5.969 2.297
Li 0.305 -4.762 0.100
Li -6.238 -6.439 -0.078
Li -9.849 -3.549 3.011
Li -9.700 -4.838 0.867
Li -3.156 -3.161 1.045
Li 0.155 -2.420 0.051
Li -9.549 -7.181 0.916
Li -6.538 -2.807 2.017
Li -10.000 -1.206 2.962
```

Properties
- energy of formation (eV/atom) = 0.149
- N(E_F) (states/eV/f.u.) = 2.1
- total magnetic moment (μB per atom) = 0.153